1.
Dy2UTe4: optimized geometry, PBE.

Cell: 4.278 7.471 14.871 Å, 90.00 90.00 106.64°
Each line ends with the local moment (μB).
Atoms (fractional coordinates):
Dy  0.866  0.732  0.934  0.03
Dy  0.134  0.268  0.434  0.03
Dy  0.134  0.268  0.066  0.03
Dy  0.866  0.732  0.566  0.03
Te  0.500  0.000  0.000  -0.01
Te  0.224  0.448  0.624  -0.02
Te  0.776  0.552  0.124  -0.02
Te  0.959  0.918  0.750  -0.03
Te  0.500  0.000  0.500  -0.01
Te  0.776  0.552  0.376  -0.02
Te  0.041  0.082  0.250  -0.03
Te  0.224  0.448  0.876  -0.02
U  0.379  0.759  0.250  2.96
U  0.621  0.241  0.750  2.96

Output
Size of the total moment in μB/f.u.: 3.34
Crystal system: orthorhombic
E_form (uncorrected) in meV/atom: -1058

---

2.
Dy2MgZn3: optimized geometry, PBE.

Cell: 3.506 3.506 10.323 Å, 90.00 90.00 90.00°
Atoms (fractional coordinates):
Dy  0.500  0.500  0.173
Dy  0.500  0.500  0.827
Zn  0.000  0.000  0.353
Zn  0.000  0.000  0.647
Zn  0.000  0.000  0.000
Mg  0.500  0.500  0.500

Output
ΔH_f (0 K) in meV per atom: -270
Size of the total moment in μB/f.u.: 0.00
Crystal system: tetragonal
Polymorph energy (0 for the lowest one) in meV per atom: 55

---

3.
NaZrBe3: optimized geometry, PBE.

Cell: 4.215 4.215 4.215 Å, 90.00 90.00 90.00°
Atoms (fractional coordinates):
Na  0.000  0.000  0.000
Be  0.500  0.000  0.000
Be  0.000  0.000  0.500
Be  0.000  0.500  0.000
Zr  0.500  0.500  0.500

Output
ΔH_f (0 K) in meV per atom: 1159
Size of the total moment in μB/f.u.: 0.00
Crystal system: cubic
Polymorph energy (0 for the lowest one) in meV per atom: 0